VASP calculation (meta-GGA SCAN) on SrMnCu2 at its PBEsol-relaxed geometry.

The structure in POSCAR format:
```
SrMnCu2
1.0
4.6370 0.0000 0.0000
2.3185 4.0158 0.0000
2.3185 1.3386 3.7861
Cu Mn Sr
2 1 1
Cartesian
0.0000 0.0000 0.0000
6.9555 4.0158 2.8396
4.6370 2.6772 1.8931
2.3185 1.3386 0.9465
```

Summary:
* crystal system: cubic
* ΔE_f: 0.404 eV per atom



VASP calculation (meta-GGA SCAN) on Sr2YCd at its PBEsol-relaxed geometry.

The structure in POSCAR format:
```
Sr2YCd
1.0
-2.9509 -1.8900 -2.2092
0.8448 -3.5693 1.9253
-5.4344 1.7990 5.7198
Cd Sr Y
1 2 1
Cartesian
-3.7703 -1.8302 2.7180
-3.9462 1.3064 4.1535
-1.4882 0.4926 1.5664
-1.0530 -2.7297 -0.1420
```

Summary:
* crystal system: tetragonal
* ΔE_f: -0.005 eV per atom



VASP calculation (meta-GGA SCAN) on Cr2TeRh at its PBEsol-relaxed geometry.

The structure in POSCAR format:
```
Cr2TeRh
1.0
-2.6962 3.3074 -0.7850
-3.0261 -0.3542 -3.0890
-4.1879 -0.3092 1.0911
Cr Rh Te
2 1 1
Cartesian
0.0000 0.0000 0.0000
-7.4326 1.9830 -2.0872
-4.9551 1.3220 -1.3914
-2.4775 0.6610 -0.6957
```

Summary:
* energy relative to the elements, uncorrected: 13 kJ/mol of formula units
* crystal system: cubic



VASP calculation (meta-GGA SCAN) on Zr2PtPb at its PBEsol-relaxed geometry.

The structure in POSCAR format:
```
Zr2PtPb
1.0
3.3865 0.0000 0.0000
0.0000 3.3865 0.0000
0.0000 0.0000 7.5158
Pb Pt Zr
1 1 2
Cartesian
0.0000 0.0000 3.9279
1.6933 1.6933 5.9117
0.0000 0.0000 7.2016
1.6933 1.6933 1.7484
```

Summary:
* crystal system: tetragonal
* ΔE_f: -0.524 eV per atom



VASP calculation (meta-GGA SCAN) on BaAgAs2F at its PBEsol-relaxed geometry.

The structure in POSCAR format:
```
BaAgAs2F
1.0
-4.7078 0.2724 -0.4045
0.2454 -2.1576 -4.3088
-0.4324 -4.3068 2.1320
As Ba Ag F
2 1 1 1
Cartesian
-0.2162 -2.1534 1.0660
0.1227 -1.0788 -2.1544
-2.4474 -3.0960 -1.2906
-2.3539 0.1362 -0.2023
0.0000 0.0000 0.0000
```

Summary:
* energy relative to the elements, uncorrected: -213 kJ/mol of formula units
* crystal system: tetragonal



VASP calculation (meta-GGA SCAN) on HgPtN2O at its PBEsol-relaxed geometry.

The structure in POSCAR format:
```
HgPtN2O
1.0
3.7461 0.0000 0.0000
0.0000 3.7461 0.0000
0.0000 0.0000 4.6155
O Hg Pt N
1 1 1 2
Cartesian
0.0000 0.0000 2.3077
1.8731 1.8731 2.3077
0.0000 0.0000 0.0000
0.0000 1.8731 0.0000
1.8731 0.0000 0.0000
```

Summary:
* energy relative to the elements, uncorrected: 568 kJ/mol of formula units
* crystal system: tetragonal



VASP calculation (meta-GGA SCAN) on Sc2BeP at its PBEsol-relaxed geometry.

The structure in POSCAR format:
```
Sc2BeP
1.0
4.4600 0.0000 0.0000
2.2300 3.8624 0.0000
2.2300 1.2875 3.6415
Sc P Be
2 1 1
Cartesian
6.6899 3.8624 2.7312
2.2300 1.2875 0.9104
4.4600 2.5750 1.8208
0.0000 0.0000 0.0000
```

Summary:
* energy above the most stable polymorph in this dataset: 509 meV per atom
* crystal system: cubic
* ΔE_f: -0.426 eV per atom



VASP calculation (meta-GGA SCAN) on CaZn2Rh2 at its PBEsol-relaxed geometry.

The structure in POSCAR format:
```
CaZn2Rh2
1.0
-0.1018 -1.9707 -2.2021
4.2974 -4.4699 3.8014
-5.8625 -3.0696 3.0180
Zn Rh Ca
4 4 2
Cartesian
-3.2235 -3.6827 1.4594
-2.1981 -6.5058 3.9384
1.5566 -5.8275 3.1578
0.5312 -3.0044 0.6788
-3.4953 -4.2523 3.9670
-0.0517 -5.8093 5.2011
1.9303 -3.2871 2.8524
-1.5134 -1.7302 1.6183
0.0000 0.0000 0.0000
-0.7825 -3.7697 3.4097
```

Summary:
* crystal system: tetragonal
* ΔE_f: -0.406 eV per atom



VASP calculation (meta-GGA SCAN) on RbTl2Ag2 at its PBEsol-relaxed geometry.

The structure in POSCAR format:
```
RbTl2Ag2
1.0
5.1369 0.0000 0.0000
0.0000 5.1369 0.0000
-2.5685 -2.5685 5.4135
Tl Rb Ag
2 1 2
Cartesian
0.0000 0.0000 3.8732
2.5685 2.5685 1.5402
0.0000 0.0000 0.0000
0.0000 2.5685 2.7067
2.5685 0.0000 2.7067
```

Summary:
* crystal system: tetragonal
* ΔE_f: -0.009 eV per atom



VASP calculation (meta-GGA SCAN) on Sm2Se3O9 at its PBEsol-relaxed geometry.

The structure in POSCAR format:
```
Sm2Se3O9
1.0
-5.8382 1.1411 3.6182
-4.2237 -6.2871 1.4825
2.0460 -2.9437 8.2405
Sm Se O
4 6 18
Cartesian
-4.5115 -2.4256 5.4354
-3.5043 -5.6641 7.9058
-2.3690 -2.1063 2.3193
-5.6469 -5.9834 11.0219
-1.8547 -2.7182 8.0206
-4.3186 -4.7652 2.1853
-7.3280 -5.3340 8.3077
-3.6973 -3.3245 11.1559
-6.1612 -5.3714 5.3206
-0.6878 -2.7557 5.0335
-2.3498 -1.8391 9.4053
-5.6661 -6.2505 3.9359
-5.7929 -6.1145 8.5897
-2.2230 -1.9752 4.7515
-3.8120 -7.1143 9.9748
-1.5044 -4.2767 8.6779
-6.5891 -1.2692 4.1962
-3.3359 -3.2221 7.2992
-4.2513 -4.3374 9.8936
-1.4268 -6.8205 9.1449
-3.9154 -7.7732 6.9404
-1.7439 -6.1241 6.3891
-4.2039 -0.9754 3.3663
-6.5114 -3.8130 4.6633
-4.6799 -4.8676 6.0420
-3.7646 -3.7523 3.4476
-4.1005 -0.3165 6.4008
-6.2720 -1.9656 6.9521
```

Summary:
* energy relative to the elements, uncorrected: -2802 kJ/mol of formula units
* crystal system: triclinic



VASP calculation (meta-GGA SCAN) on TiPdPt3 at its PBEsol-relaxed geometry.

The structure in POSCAR format:
```
TiPdPt3
1.0
4.7065 0.0000 0.0000
0.0000 4.7065 0.0000
0.0000 0.0000 4.7065
Pd Pt Ti
1 3 1
Cartesian
0.0000 0.0000 0.0000
0.0000 2.3532 0.0000
0.0000 0.0000 2.3532
2.3532 0.0000 0.0000
2.3532 2.3532 2.3532
```

Summary:
* crystal system: cubic
* ΔE_f: 1.216 eV per atom



VASP calculation (meta-GGA SCAN) on RbLi2Ir at its PBEsol-relaxed geometry.

The structure in POSCAR format:
```
RbLi2Ir
1.0
5.2507 0.0000 0.0000
0.0000 5.2507 0.0000
-2.6254 -2.6254 7.8778
Ir Rb Li
2 2 4
Cartesian
0.0000 0.0000 0.0000
0.0000 2.6254 3.9389
2.6254 2.6254 0.0000
2.6254 0.0000 3.9389
1.3127 2.6254 5.9083
-1.3127 2.6254 5.9083
0.0000 3.9380 1.9694
0.0000 1.3127 1.9694
```

Summary:
* energy above the most stable polymorph in this dataset: 73 meV per atom
* crystal system: tetragonal
* ΔE_f: 0.605 eV per atom



VASP calculation (meta-GGA SCAN) on HfZnSbTe2 at its PBEsol-relaxed geometry.

The structure in POSCAR format:
```
HfZnSbTe2
1.0
-4.7924 -2.5186 -0.5297
2.0236 -2.9957 -4.0647
1.6153 -3.8375 3.6324
Sb Zn Te Hf
1 1 2 1
Cartesian
0.8076 -1.9188 1.8162
-0.5768 -4.6759 -0.4810
1.0118 -1.4978 -2.0324
-2.3962 -1.2593 -0.2649
0.0000 0.0000 0.0000
```

Summary:
* energy relative to the elements, uncorrected: 100 kJ/mol of formula units
* crystal system: tetragonal



VASP calculation (meta-GGA SCAN) on OsCl2F at its PBEsol-relaxed geometry.

The structure in POSCAR format:
```
OsCl2F
1.0
2.8832 0.0000 0.0000
1.4416 2.4969 0.0000
1.4416 0.8323 8.3073
F Os Cl
1 1 2
Cartesian
2.8832 1.6646 4.1537
0.0000 0.0000 0.0000
4.3248 2.4969 2.1794
1.4416 0.8323 6.1279
```

Summary:
* energy above the most stable polymorph in this dataset: 221 meV per atom
* energy relative to the elements, uncorrected: 107 kJ/mol of formula units
* crystal system: trigonal



VASP calculation (meta-GGA SCAN) on TlSe2Br at its PBEsol-relaxed geometry.

The structure in POSCAR format:
```
TlSe2Br
1.0
3.2230 0.0000 0.0000
0.0000 5.3745 0.0000
0.0000 0.0000 5.3745
Br Se Tl
1 2 1
Cartesian
1.6115 0.0000 0.0000
0.0000 0.0000 2.6873
0.0000 2.6873 0.0000
1.6115 2.6873 2.6873
```

Summary:
* energy above the most stable polymorph in this dataset: 671 meV per atom
* energy relative to the elements, uncorrected: 159 kJ/mol of formula units
* crystal system: tetragonal



VASP calculation (meta-GGA SCAN) on Ca2YCo at its PBEsol-relaxed geometry.

The structure in POSCAR format:
```
Ca2YCo
1.0
3.5579 0.0000 0.0000
0.0000 5.7122 -0.0051
-1.7790 -2.8513 5.2997
Y Ca Co
1 2 1
Cartesian
0.0000 2.8602 1.8831
1.7790 2.8632 5.2487
1.7790 0.0065 3.3213
1.7790 2.8479 0.1336
```

Summary:
* energy above the most stable polymorph in this dataset: 0 meV per atom
* crystal system: monoclinic
* ΔE_f: 0.252 eV per atom



VASP calculation (meta-GGA SCAN) on Y2InRhI at its PBEsol-relaxed geometry.

The structure in POSCAR format:
```
Y2InRhI
1.0
5.0722 0.0000 0.0000
0.0000 5.3035 0.0000
0.0000 0.0000 5.3035
I Y Rh In
1 2 1 1
Cartesian
2.5361 2.6518 2.6518
0.0000 0.0000 2.6518
0.0000 2.6518 0.0000
0.0000 0.0000 0.0000
2.5361 0.0000 0.0000
```

Summary:
* energy relative to the elements, uncorrected: -298 kJ/mol of formula units
* crystal system: tetragonal



VASP calculation (meta-GGA SCAN) on YTaNi2C at its PBEsol-relaxed geometry.

The structure in POSCAR format:
```
YTaNi2C
1.0
-3.0073 -2.2142 1.8558
2.8413 -3.3918 0.5575
1.2134 1.6665 3.9546
Y Ni C Ta
1 2 1 1
Cartesian
0.0000 0.0000 0.0000
0.6067 0.8332 1.9773
1.4207 -1.6959 0.2787
-1.5037 -1.1071 0.9279
0.5237 -1.9698 3.1840
```

Summary:
* crystal system: tetragonal
* ΔE_f: 2.014 eV per atom



VASP calculation (meta-GGA SCAN) on Tb2Ge2O7 at its PBEsol-relaxed geometry.

The structure in POSCAR format:
```
Tb2Ge2O7
1.0
-1.8704 -5.2102 3.9726
-1.1110 -3.8193 -5.5322
11.7663 -3.9477 0.3625
Tb Ge O
8 8 28
Cartesian
8.8236 -7.2709 2.1916
2.6628 -6.6126 -3.3055
0.6356 -3.6644 -3.0360
5.1168 -8.9418 -2.0042
0.4864 -2.9679 0.7091
2.2436 -8.3499 0.0619
9.7231 -5.6947 -1.1610
5.4479 -8.4064 1.7557
8.3436 -9.1273 -0.4117
3.2553 -4.7940 -0.6987
-0.3136 -6.1361 -1.1803
6.1616 -6.2035 -4.0633
-0.4458 -5.7440 2.7716
2.7804 -6.2981 2.9483
9.0737 -7.7088 -4.0509
6.2845 -5.8970 -0.1035
4.9834 -4.6988 -0.2894
7.5632 -7.0557 -3.3763
1.2217 -5.9214 2.1792
-2.0817 -6.3045 -1.0889
2.7546 -6.4458 -0.9503
8.9265 -7.5030 -0.1576
5.7063 -7.5126 -0.4163
0.2266 -4.5906 -5.0074
5.5714 -7.3844 3.7182
8.4198 -8.8064 3.7377
3.3521 -5.1730 -4.8428
0.1824 -4.4928 -0.8700
0.1705 -7.5270 -0.2462
7.5597 -5.0963 -0.9834
7.2393 -9.6150 -1.6703
10.2097 -7.1329 -2.8596
0.3453 -1.9131 -1.5835
2.8529 -4.2737 -2.3664
7.6175 -9.2689 1.2212
6.7445 -6.2428 1.5943
0.3550 -6.1689 -2.8433
4.2419 -9.6557 0.2570
10.2192 -5.6743 1.3173
2.7634 -8.7112 -2.3851
2.6004 -3.7160 0.5057
4.8675 -7.0688 -3.2770
-0.9111 -4.2884 1.9312
3.4037 -7.4643 1.8112
```

Summary:
* energy relative to the elements, uncorrected: -3024 kJ/mol of formula units
* crystal system: tetragonal



VASP calculation (meta-GGA SCAN) on Sr10P6ClO24F at its PBEsol-relaxed geometry.

The structure in POSCAR format:
```
Sr10P6ClO24F
1.0
7.2301 0.0000 0.0000
0.0000 9.7695 0.0000
0.0000 -4.8848 8.4607
Sr P Cl O F
10 6 1 24 1
Cartesian
3.6297 4.8848 2.8202
7.1720 0.0000 5.6405
3.5267 0.0000 5.6405
0.0379 4.8848 2.8202
5.3935 3.7166 6.1938
5.3935 2.5472 0.1217
5.3935 8.3905 2.1451
1.8003 1.1019 2.0712
1.8003 2.5402 8.3794
1.8003 -3.6420 6.4708
5.4276 -2.7759 5.3700
5.4276 1.6222 3.3716
5.4276 1.1538 8.1797
1.8073 7.6267 3.1534
1.8073 3.2253 5.0282
1.8073 3.8024 0.2791
6.7166 0.0000 0.0000
5.4658 5.7864 4.3906
5.4658 3.0740 2.8159
5.4658 5.7939 1.2542
1.8000 -0.8861 4.0591
1.8000 1.8125 5.6637
1.8000 -0.9264 7.1985
4.2457 -2.9389 6.3623
4.2457 0.8443 2.7344
4.2457 2.0945 7.8247
0.5376 7.5894 2.2619
0.5376 4.0160 5.4417
0.5376 3.0489 0.7572
3.0456 7.6249 2.2203
3.0456 4.0343 5.4932
3.0456 2.9951 0.7472
6.7329 -2.6314 6.1874
6.7329 0.8420 3.0881
6.7329 1.7894 7.6458
5.2549 -1.4502 4.5697
5.2549 1.6524 4.9199
5.2549 -0.2022 7.4317
1.8474 6.3170 3.9891
1.8474 3.1564 3.4761
1.8474 5.1809 0.9954
2.5035 0.0000 0.0000
```

Summary:
* energy relative to the elements, uncorrected: -13190 kJ/mol of formula units
* crystal system: trigonal



Number 1: ρ 6.4 g cm⁻³. Number 2: ρ 4.5 g cm⁻³. Number 3: ρ 9.6 g cm⁻³. Number 4: ρ 11.3 g cm⁻³. Number 5: ρ 6.2 g cm⁻³. Number 6: ρ 11.3 g cm⁻³. Number 7: ρ 3.4 g cm⁻³. Number 8: ρ 8.0 g cm⁻³. Number 9: ρ 8.3 g cm⁻³. Number 10: ρ 5.5 g cm⁻³. Number 11: ρ 11.8 g cm⁻³. Number 12: ρ 4.5 g cm⁻³. Number 13: ρ 6.3 g cm⁻³. Number 14: ρ 7.8 g cm⁻³. Number 15: ρ 7.9 g cm⁻³. Number 16: ρ 3.5 g cm⁻³. Number 17: ρ 6.1 g cm⁻³. Number 18: ρ 8.0 g cm⁻³. Number 19: ρ 6.6 g cm⁻³. Number 20: ρ 4.2 g cm⁻³.